[1]
# GaSbTeI2 (PBE-GGA, relaxed)
data_GaSbTeI2
_chemical_formula_sum 'Ga1 Sb1 Te1 I2'
_cell_length_a 5.4613
_cell_length_b 5.4613
_cell_length_c 5.6180
_cell_angle_alpha 90.00
_cell_angle_beta 90.00
_cell_angle_gamma 90.00
_symmetry_space_group_name_H-M 'P 4/m m m'
_symmetry_Int_Tables_number 123
_symmetry_space_group_name_Hall '-P 4 2'
loop_
_atom_site_label
_atom_site_type_symbol
_atom_site_fract_x
_atom_site_fract_y
_atom_site_fract_z
Ga1 Ga 0.0000 0.0000 0.0000
Sb1 Sb 0.5000 0.5000 0.5000
Te1 Te 0.0000 0.0000 0.5000
I1 I 0.0000 0.5000 0.0000
# energy above the lowest structure with this stoichiometry = 0.221 eV per atom
# density of states at the Fermi level = 2.63 states/eV per cell

---

[2]
# GaSbTeI2 (PBE-GGA, relaxed)
data_GaSbTeI2
_chemical_formula_sum 'Ga1 Sb1 Te1 I2'
_cell_length_a 5.4254
_cell_length_b 5.4254
_cell_length_c 5.7810
_cell_angle_alpha 90.00
_cell_angle_beta 90.00
_cell_angle_gamma 90.00
_symmetry_space_group_name_H-M 'P 4/m m m'
_symmetry_Int_Tables_number 123
_symmetry_space_group_name_Hall '-P 4 2'
loop_
_atom_site_label
_atom_site_type_symbol
_atom_site_fract_x
_atom_site_fract_y
_atom_site_fract_z
Ga1 Ga 0.0000 0.0000 0.0000
Sb1 Sb 0.0000 0.0000 0.5000
Te1 Te 0.5000 0.5000 0.5000
I1 I 0.0000 0.5000 0.0000
# energy above the lowest structure with this stoichiometry = 0.277 eV per atom
# density of states at the Fermi level = 3.27 states/eV per cell

---

[3]
# TlGaSbI2 (PBE-GGA, relaxed)
data_TlGaSbI2
_chemical_formula_sum 'Tl1 Ga1 Sb1 I2'
_cell_length_a 6.4132
_cell_length_b 6.4132
_cell_length_c 5.7981
_cell_angle_alpha 90.00
_cell_angle_beta 90.00
_cell_angle_gamma 90.00
_symmetry_space_group_name_H-M 'P 4/m m m'
_symmetry_Int_Tables_number 123
_symmetry_space_group_name_Hall '-P 4 2'
loop_
_atom_site_label
_atom_site_type_symbol
_atom_site_fract_x
_atom_site_fract_y
_atom_site_fract_z
Tl1 Tl 0.0000 0.0000 0.0000
Ga1 Ga 0.5000 0.5000 0.5000
Sb1 Sb 0.0000 0.0000 0.5000
I1 I 0.0000 0.5000 0.0000
# energy above the lowest structure with this stoichiometry = 0.280 eV per atom
# density of states at the Fermi level = 1.06 states/eV per cell

---

Q: Which formation energy (no corrections) values were calculated for the entries above? A: 286, 342, 267, in meV/atom.
Q: Which E_tot values were calculated for the entries above? A: -2.3924, -2.3365, -2.2566, in eV per atom.